# NbIrPb2, optimized geometry, DFT PBE
# Calculated density   12.77 g/cm³
# Calculated total energy   -94.01 eV for the cell shown
# Energy relative to the lowest polymorph listed for this composition   0.1520 eV/atom
# Density of states at the Fermi level   0.946 states/eV per atom
data_NbIrPb2
_chemical_formula_sum 'Nb4 Ir4 Pb8'
_space_group_name_H-M_alt 'I -4 2 d'
_space_group_IT_number 122
_space_group_name_Hall 'I -4 2bw'
_cell_length_a 7.898
_cell_length_b 7.898
_cell_length_c 5.832
_cell_angle_alpha 90.00
_cell_angle_beta 90.00
_cell_angle_gamma 90.00
loop_
_atom_site_label
_atom_site_type_symbol
_atom_site_fract_x
_atom_site_fract_y
_atom_site_fract_z
Nb1 Nb 0.000 0.000 0.000
Ir1 Ir 0.000 0.000 0.500
Pb1 Pb 0.220 0.750 0.625